1.
MgTiP2O7: relaxed, PBE.

```
MgTiP2O7
1.0
5.603 0.029 -0.003
2.479 6.077 -0.020
0.432 0.417 7.375
Mg Ti P O
2 2 4 14
direct
0.311 0.674 0.659
0.689 0.326 0.341
0.330 0.106 0.142
0.670 0.894 0.858
0.185 0.650 0.116
0.815 0.350 0.884
0.224 0.221 0.588
0.776 0.779 0.412
0.070 0.708 0.926
0.930 0.292 0.074
0.271 0.822 0.181
0.729 0.178 0.819
0.389 0.413 0.143
0.611 0.587 0.857
0.611 0.641 0.458
0.389 0.359 0.542
0.065 0.208 0.431
0.935 0.792 0.569
0.046 0.358 0.749
0.634 0.014 0.324
0.366 0.986 0.676
0.954 0.642 0.251
```

Formation energy without anion corrections: -2.32 eV per atom
SG: P-1 (2)
Total magnetization: 0.18 μB/atom



2.
Mg2Ti5P6O24: relaxed, PBE.

```
Mg2Ti5P6O24
1.0
6.483 -0.024 0.023
-1.638 7.849 -0.036
-2.966 -3.072 8.506
Mg Ti P O
2 5 6 24
direct
0.291 0.309 0.795
0.709 0.691 0.205
0.037 0.208 0.021
0.963 0.792 0.979
0.600 0.040 0.391
0.400 0.960 0.609
0.000 0.500 0.500
0.218 0.642 0.264
0.782 0.358 0.736
0.076 0.089 0.334
0.924 0.911 0.666
0.603 0.273 0.136
0.397 0.727 0.864
0.380 0.277 0.013
0.620 0.723 0.987
0.196 0.443 0.198
0.804 0.557 0.802
0.542 0.140 0.219
0.458 0.860 0.781
0.731 0.466 0.265
0.269 0.534 0.735
0.057 0.045 0.159
0.943 0.955 0.841
0.750 0.219 0.044
0.250 0.781 0.956
0.295 0.046 0.419
0.705 0.954 0.581
0.552 0.242 0.731
0.448 0.758 0.269
0.094 0.285 0.412
0.906 0.715 0.588
0.135 0.042 0.664
0.865 0.958 0.336
0.014 0.688 0.163
0.986 0.312 0.837
0.222 0.690 0.437
0.778 0.310 0.563
```

Formation energy without anion corrections: -2.50 eV per atom
SG: P-1 (2)
Total magnetization: 0.16 μB/atom